No. 1
This record from the Alexandria database describes GdCBr at its PBEsol-relaxed geometry. The functional is meta-GGA SCAN.

Its electronic total energy is -367.798 eV for the cell shown. As for the total magnetic moment: 7.077 μB per formula unit. The raw formation energy comes out at -1.191 eV per atom.

The space group is C2/m (No. 12) and the conventional cell measures 6.9833, 3.7933 and 10.2121 Å, with angles of 90.00, 99.80 and 90.00 degrees. Symmetry generates all atoms from Gd at (0.0873, 0.0000, 0.3545), C at (0.0890, 0.5000, 0.5360) and Br at (0.2014, 0.5000, 0.1689).



No. 2
This record from the Alexandria database describes TaNiSe2N at its PBEsol-relaxed geometry. The functional is meta-GGA SCAN.

Its electronic total energy is -128.964 eV for the cell shown. As for the total magnetic moment: 0.155 μB per formula unit. The raw formation energy comes out at 0.648 eV per atom.

The space group is P4/mmm (No. 123) and the conventional cell measures 4.7838, 4.7838 and 3.3621 Å, with angles of 90.00, 90.00 and 90.00 degrees. Symmetry generates all atoms from Ta at (0.0000, 0.0000, 0.0000), Ni at (0.5000, 0.5000, 0.5000), Se at (0.0000, 0.5000, 0.5000) and N at (0.5000, 0.5000, 0.0000).



No. 3
This record from the Alexandria database describes TlOsCl at its PBEsol-relaxed geometry. The functional is meta-GGA SCAN.

Its electronic total energy is -298.113 eV for the cell shown. As for the total magnetic moment: 0.000 μB per formula unit. Its energy above the most stable polymorph in this dataset is 0.0000 eV/atom. The raw formation energy comes out at 1.053 eV per atom.

The space group is Imm2 (No. 44) and the conventional cell measures 2.9173, 3.6197 and 10.9687 Å, with angles of 90.00, 90.00 and 90.00 degrees. Symmetry generates all atoms from Tl at (0.0000, 0.0000, 0.0000), Os at (0.0000, 0.0000, 0.2899) and Cl at (0.0000, 0.0000, 0.7256).



No. 4
This record from the Alexandria database describes PrMgCu2O6 at its PBEsol-relaxed geometry. The functional is meta-GGA SCAN.

Its electronic total energy is -267.489 eV for the cell shown. As for the total magnetic moment: 0.000 μB per formula unit. The raw formation energy comes out at -1.766 eV per atom.

The space group is Pmn2_1 (No. 31) and the conventional cell measures 7.4462, 5.3552 and 5.1887 Å, with angles of 90.00, 90.00 and 90.00 degrees. Symmetry generates all atoms from Pr at (0.0000, 0.2106, 0.0000), Mg at (0.0000, 0.6881, 0.5366), Cu at (0.2479, 0.7503, 0.0106), O at (0.0000, 0.2944, 0.4423), O at (0.0000, 0.7672, 0.1349), O at (0.1948, 0.9498, 0.7035) and O at (0.1977, 0.4878, 0.7758).



No. 5
This record from the Alexandria database describes NaCuHgP2 at its PBEsol-relaxed geometry. The functional is meta-GGA SCAN.

Its electronic total energy is -101.235 eV for the cell shown. As for the total magnetic moment: 0.000 μB per formula unit. Its formation energy is 1.429 eV per atom.

The space group is P4/mmm (No. 123) and the conventional cell measures 4.7473, 4.7473 and 5.0669 Å, with angles of 90.00, 90.00 and 90.00 degrees. Symmetry generates all atoms from Na at (0.0000, 0.0000, 0.0000), Cu at (0.5000, 0.5000, 0.5000), Hg at (0.0000, 0.0000, 0.5000) and P at (0.0000, 0.5000, 0.0000).



No. 6
This record from the Alexandria database describes ZrGaN2 at its PBEsol-relaxed geometry. The functional is meta-GGA SCAN.

Its electronic total energy is -275.768 eV for the cell shown. As for the total magnetic moment: 0.002 μB per formula unit. The raw formation energy comes out at -0.829 eV per atom.

The space group is I-42d (No. 122) and the conventional cell measures 4.8075, 4.8075 and 9.2393 Å, with angles of 90.00, 90.00 and 90.00 degrees. Symmetry generates all atoms from Zr at (0.0000, 0.0000, 0.0000), Ga at (0.0000, 0.0000, 0.5000) and N at (0.2257, 0.2500, 0.6250).



No. 7
This record from the Alexandria database describes KSnBr3 at its PBEsol-relaxed geometry. The functional is meta-GGA SCAN.

Its electronic total energy is -435.465 eV for the cell shown. As for the total magnetic moment: 0.000 μB per formula unit. The raw formation energy comes out at -1.248 eV per atom.

The space group is Pnma (No. 62) and the conventional cell measures 8.7189, 4.4082 and 16.3723 Å, with angles of 90.00, 90.00 and 90.00 degrees. Symmetry generates all atoms from K at (0.0805, 0.2500, 0.1592), Sn at (0.1225, 0.7500, 0.4359), Br at (0.0408, 0.7500, 0.6464), Br at (0.1817, 0.7500, 0.0034) and Br at (0.1988, 0.2500, 0.8028).



No. 8
This record from the Alexandria database describes LaFeAg2 at its PBEsol-relaxed geometry. The functional is meta-GGA SCAN.

Its electronic total energy is -246.162 eV for the cell shown. As for the total magnetic moment: 2.440 μB per formula unit. Its formation energy is 0.222 eV per atom.

The space group is I-4m2 (No. 119) and the conventional cell measures 4.3694, 4.3694 and 8.2419 Å, with angles of 90.00, 90.00 and 90.00 degrees. Symmetry generates all atoms from La at (0.0000, 0.0000, 0.0000), Fe at (0.0000, 0.5000, 0.2500), Ag at (0.0000, 0.0000, 0.5000) and Ag at (0.0000, 0.5000, 0.7500).



No. 9
This record from the Alexandria database describes Si2PbBrN at its PBEsol-relaxed geometry. The functional is meta-GGA SCAN.

Its electronic total energy is -116.110 eV for the cell shown. As for the total magnetic moment: 0.000 μB per formula unit. The raw formation energy comes out at 1.691 eV per atom.

The space group is P4/mmm (No. 123) and the conventional cell measures 4.9596, 4.9596 and 4.0928 Å, with angles of 90.00, 90.00 and 90.00 degrees. Symmetry generates all atoms from Si at (0.0000, 0.5000, 0.0000), Pb at (0.0000, 0.0000, 0.5000), Br at (0.5000, 0.5000, 0.0000) and N at (0.5000, 0.5000, 0.5000).



No. 10
This record from the Alexandria database describes SrAsOs2 at its PBEsol-relaxed geometry. The functional is meta-GGA SCAN.

Its electronic total energy is -185.431 eV for the cell shown. As for the total magnetic moment: 0.000 μB per formula unit. Its formation energy is 0.199 eV per atom.

The space group is Pm (No. 6) and the conventional cell measures 2.8986, 4.1255 and 6.4287 Å, with angles of 90.00, 99.80 and 90.00 degrees. Symmetry generates all atoms from Sr at (0.0000, 0.0000, 0.0000), As at (0.6242, 0.5000, 0.2928), Os at (0.2117, 0.5000, 0.6414) and Os at (0.6256, 0.0000, 0.5215).



No. 11
This record from the Alexandria database describes TeW3Br at its PBEsol-relaxed geometry. The functional is meta-GGA SCAN.

Its electronic total energy is -253.198 eV for the cell shown. As for the total magnetic moment: 0.000 μB per formula unit. Its energy above the most stable polymorph in this dataset is 0.0000 eV/atom. The raw formation energy comes out at 2.515 eV per atom.

The space group is Pm-3m (No. 221) and the conventional cell measures 4.6310, 4.6310 and 4.6310 Å, with angles of 90.00, 90.00 and 90.00 degrees. Symmetry generates all atoms from Te at (0.0000, 0.0000, 0.0000), W at (0.0000, 0.5000, 0.5000) and Br at (0.5000, 0.5000, 0.5000).



No. 12
This record from the Alexandria database describes Mg3CuAs at its PBEsol-relaxed geometry. The functional is meta-GGA SCAN.

Its electronic total energy is -49.567 eV for the cell shown. As for the total magnetic moment: 0.000 μB per formula unit. Its energy above the most stable polymorph in this dataset is 0.0000 eV/atom. Its formation energy is 0.149 eV per atom.

The space group is Pm-3m (No. 221) and the conventional cell measures 4.7537, 4.7537 and 4.7537 Å, with angles of 90.00, 90.00 and 90.00 degrees. Symmetry generates all atoms from Mg at (0.0000, 0.0000, 0.5000), Cu at (0.0000, 0.0000, 0.0000) and As at (0.5000, 0.5000, 0.5000).



Which formula does entry 3 have? TlOsCl



electronic total energy of number 12 (Mg3CuAs)? -49.567 eV for the cell shown



Number 8 is which compound? LaFeAg2



Please write out number 5 again, unchanged.
This record from the Alexandria database describes NaCuHgP2 at its PBEsol-relaxed geometry. The functional is meta-GGA SCAN.

Its electronic total energy is -101.235 eV for the cell shown. As for the total magnetic moment: 0.000 μB per formula unit. Its formation energy is 1.429 eV per atom.

The space group is P4/mmm (No. 123) and the conventional cell measures 4.7473, 4.7473 and 5.0669 Å, with angles of 90.00, 90.00 and 90.00 degrees. Symmetry generates all atoms from Na at (0.0000, 0.0000, 0.0000), Cu at (0.5000, 0.5000, 0.5000), Hg at (0.0000, 0.0000, 0.5000) and P at (0.0000, 0.5000, 0.0000).